# 1
ZnSb after structural relaxation, computed with PBE.

```
16
Lattice="9.8215 0.0000 0.0000 0.0000 9.8215 0.0000 0.0000 0.0000 4.5284" Properties=species:S:1:pos:R:3 pbc="T T T"
Zn 0.1077 3.4827 0.0000
Zn 2.0929 6.3348 2.2642
Zn 3.4867 2.0929 2.2642
Zn 3.4827 9.7138 0.0000
Zn 6.3388 0.1077 0.0000
Zn 6.3348 7.7286 2.2642
Zn 7.7286 3.4867 2.2642
Zn 9.7138 6.3388 0.0000
Sb 0.5797 2.0447 2.2642
Sb 2.0447 9.2418 2.2642
Sb 2.3957 5.0284 0.0000
Sb 4.7931 2.3957 0.0000
Sb 5.0284 7.4258 0.0000
Sb 7.4258 4.7931 0.0000
Sb 7.7768 0.5797 2.2642
Sb 9.2418 7.7768 2.2642
```

## Properties
The value obtained for the total energy is -2.572 eV per atom.


# 2
YOs2Au after structural relaxation, computed with PBE.

```
8
Lattice="3.9171 0.0000 0.0000 0.0000 4.5256 0.0000 0.0000 0.0000 8.2999" Properties=species:S:1:pos:R:3 pbc="T T T"
Y 0.0000 0.0000 0.0000
Y 1.9586 2.2628 4.1499
Os 0.0000 0.0000 4.4275
Os 0.0000 2.2628 1.8524
Os 1.9586 0.0000 6.0024
Os 1.9586 2.2628 0.2776
Au 0.0000 2.2628 6.4132
Au 1.9586 0.0000 2.2633
```

## Properties
Its formation energy is 0.2097 eV/atom.


# 3
NaSiOs2 after structural relaxation, computed with PBE.

```
16
Lattice="4.6864 0.0000 0.0000 0.0000 4.6864 0.0000 0.0000 0.0000 16.6769" Properties=species:S:1:pos:R:3 pbc="T T T"
Na 0.0000 0.0000 0.0000
Na 0.0000 2.3432 4.1692
Na 2.3432 0.0000 12.5077
Na 2.3432 2.3432 8.3385
Si 0.0000 0.0000 8.3385
Si 0.0000 2.3432 12.5077
Si 2.3432 0.0000 4.1692
Si 2.3432 2.3432 0.0000
Os 0.2357 1.1716 10.4231
Os 1.1716 2.5788 14.5923
Os 1.1716 4.4507 6.2538
Os 2.1075 1.1716 2.0846
Os 2.5788 3.5148 2.0846
Os 3.5148 0.2357 6.2538
Os 3.5148 2.1075 14.5923
Os 4.4507 3.5148 10.4231
```

## Properties
The value obtained for the total energy is -6.381 eV per atom.


# 4
Ac3LaPrSm after structural relaxation, computed with PBE.

```
12
Lattice="8.5386 0.0000 0.0000 0.0000 5.4701 0.0000 -3.4893 0.0000 10.3478" Properties=species:S:1:pos:R:3 pbc="T T T"
Ac 1.3564 1.3675 0.4151
Ac -0.4176 1.3675 5.6666
Ac 0.4695 4.1026 3.0325
Ac 4.5798 1.3675 7.3153
Ac 5.4669 4.1026 4.6812
Ac 3.6929 4.1026 9.9327
La -1.2698 4.1026 8.2226
La 6.3191 1.3675 2.1252
Pr 2.0587 4.1026 6.5028
Pr 2.9906 1.3675 3.8450
Sm 1.1952 1.3675 9.0893
Sm 3.8541 4.1026 1.2585
```

## Properties
Its formation energy is 0.0276 eV/atom.


# 5
SrNiSb2 after structural relaxation, computed with PBE.

```
8
Lattice="7.2277 0.0000 0.0000 0.0000 4.1974 0.0000 -2.4501 0.0000 6.7924" Properties=species:S:1:pos:R:3 pbc="T T T"
Sr 0.0000 0.0000 0.0000
Sr 3.6139 2.0987 0.0000
Ni -1.2251 2.0987 3.3962
Ni 2.3888 0.0000 3.3962
Sb -0.0248 0.0000 4.4946
Sb 1.1886 2.0987 2.2978
Sb 3.5890 2.0987 4.4946
Sb 4.8025 0.0000 2.2978
```

## Properties
The value obtained for the total energy is -4.369 eV per atom.


# 6
DyLuCdCo after structural relaxation, computed with PBE.

```
16
Lattice="7.0360 0.0000 0.0000 0.0000 7.0360 0.0000 0.0000 0.0000 7.0360" Properties=species:S:1:pos:R:3 pbc="T T T"
Dy 0.0000 0.0000 0.0000
Dy 0.0000 3.5180 3.5180
Dy 3.5180 0.0000 3.5180
Dy 3.5180 3.5180 0.0000
Lu 0.0000 0.0000 3.5180
Lu 0.0000 3.5180 0.0000
Lu 3.5180 0.0000 0.0000
Lu 3.5180 3.5180 3.5180
Cd 1.7590 1.7590 5.2770
Cd 1.7590 5.2770 1.7590
Cd 5.2770 1.7590 1.7590
Cd 5.2770 5.2770 5.2770
Co 1.7590 1.7590 1.7590
Co 1.7590 5.2770 5.2770
Co 5.2770 1.7590 5.2770
Co 5.2770 5.2770 1.7590
```

## Properties
Its formation energy is -0.1598 eV/atom.


# 7
CeSmTh after structural relaxation, computed with PBE.

```
6
Lattice="3.5298 0.0000 0.0000 0.0000 5.8662 0.0000 -1.7538 0.0000 9.2360" Properties=species:S:1:pos:R:3 pbc="T T T"
Ce -0.0021 1.4666 1.8603
Ce 1.7781 4.3997 7.3758
Sm 0.0053 4.3997 4.0914
Sm 1.7707 1.4666 5.1447
Th 0.0097 1.4666 8.2123
Th 1.7663 4.3997 1.0237
```

## Properties
Its formation energy is 0.0864 eV/atom.


# 8
Ba8HRh3I3 after structural relaxation, computed with PBE.

```
15
Lattice="4.5564 2.6307 8.5993 -4.5564 2.6307 8.5993 0.0000 -5.2613 8.5993" Properties=species:S:1:pos:R:3 pbc="T T T"
Ba -2.3222 -1.3407 14.5752
Ba 0.0000 0.0000 6.0305
Ba 0.0000 -2.6815 11.2227
Ba -2.3222 1.3407 11.2227
Ba 2.3222 -1.3407 14.5752
Ba 0.0000 2.6815 14.5752
Ba 0.0000 0.0000 19.7674
Ba 2.3222 1.3407 11.2227
H 0.0000 0.0000 12.8989
Rh -4.5564 0.0000 12.8989
Rh -2.2782 1.3153 4.2996
Rh 2.2782 1.3153 4.2996
I -2.2782 -1.3153 8.5993
I -2.2782 1.3153 17.1985
I 0.0000 2.6307 8.5993
```

## Properties
The value obtained for the total energy is -3.695 eV per atom.


# 9
FeI2Cl after structural relaxation, computed with PBE.

```
16
Lattice="7.4133 0.0000 0.0000 0.0000 7.4133 0.0000 0.0000 0.0000 7.4133" Properties=species:S:1:pos:R:3 pbc="T T T"
Fe 0.0000 0.0000 0.0000
Fe 0.0000 3.7066 3.7066
Fe 3.7066 0.0000 3.7066
Fe 3.7066 3.7066 0.0000
I 1.8533 1.8533 1.8533
I 1.8533 1.8533 5.5599
I 1.8533 5.5599 1.8533
I 1.8533 5.5599 5.5599
I 5.5599 1.8533 1.8533
I 5.5599 1.8533 5.5599
I 5.5599 5.5599 1.8533
I 5.5599 5.5599 5.5599
Cl 0.0000 0.0000 3.7066
Cl 0.0000 3.7066 0.0000
Cl 3.7066 0.0000 0.0000
Cl 3.7066 3.7066 3.7066
```

## Properties
The value obtained for the total energy is -2.840 eV per atom.


# 10
NdPuAsSe after structural relaxation, computed with PBE.

```
12
Lattice="4.2183 0.0000 0.0000 -2.1092 3.6532 0.0000 0.0000 0.0000 20.4971" Properties=species:S:1:pos:R:3 pbc="T T T"
Nd 0.0000 0.0000 0.0000
Nd 0.0000 2.4354 13.6647
Nd 2.1092 1.2177 6.8324
Pu 0.0000 0.0000 10.3284
Pu 0.0000 2.4354 3.4960
Pu 2.1092 1.2177 17.1607
As 0.0000 0.0000 5.1135
As 0.0000 2.4354 18.7783
As 2.1092 1.2177 11.9459
Se 0.0000 0.0000 15.4801
Se 0.0000 2.4354 8.6478
Se 2.1092 1.2177 1.8154
```

## Properties
The value obtained for the total energy is -8.334 eV per atom.


# 11
Ac2TbCd after structural relaxation, computed with PBE.

```
4
Lattice="3.9708 0.0000 0.0000 0.0000 3.9708 0.0000 0.0000 0.0000 9.2576" Properties=species:S:1:pos:R:3 pbc="T T T"
Ac 0.0000 0.0000 2.1133
Ac 0.0000 0.0000 7.1443
Tb 1.9854 1.9854 4.6288
Cd 1.9854 1.9854 0.0000
```

## Properties
Its formation energy is -0.1091 eV/atom.


# 12
Na3IBr4 after structural relaxation, computed with PBE.

```
16
Lattice="9.2015 0.0000 0.0000 0.0000 8.9331 0.0000 0.0000 0.0000 7.8700" Properties=species:S:1:pos:R:3 pbc="T T T"
Na 0.0000 1.1851 0.0000
Na 2.2697 6.2083 0.3124
Na 2.3310 2.7248 4.2474
Na 4.6007 7.7479 3.9350
Na 6.8705 2.7248 4.2474
Na 6.9318 6.2083 0.3124
I 0.0000 5.7507 5.0893
I 4.6007 3.1824 1.1543
Br 0.0000 1.4636 5.1064
Br 0.0000 7.5960 1.1418
Br 1.8606 3.3130 1.2657
Br 2.7402 5.6200 5.2006
Br 4.6007 1.3371 5.0768
Br 4.6007 7.4695 1.1714
Br 6.4613 5.6200 5.2006
Br 7.3409 3.3130 1.2657
```

## Properties
The value obtained for the total energy is -2.617 eV per atom.